Here is a relaxed structure of K3Cd2In4 from Alexandria. Energies are from GGA-PBE.

a = 5.0082 Å, b = 7.0924 Å, c = 10.5124 Å
α = 69.25°, β = 76.11°, γ = 69.40°
Fractional positions:
K 0.6212 0.1278 0.6287
K 0.0000 0.0000 0.0000
K 0.3788 0.8722 0.3713
Cd 0.6827 0.3948 0.2392
Cd 0.3173 0.6052 0.7608
In 0.2830 0.3596 0.0757
In 0.9107 0.5510 0.6292
In 0.0893 0.4490 0.3708
In 0.7170 0.6404 0.9243

## Properties
As for the total energy: -1.874 eV per atom. For the distance to the lowest polymorph of the same formula, the calculation gives 16 meV/atom. The calculation puts the density of states at the Fermi level at 0.313 states/eV/atom. Its crystal system is triclinic. Its space-group type is P-1, No. 2. As for the formation energy: -0.09 eV per atom.